[1]
{
  "formula": "CuNi4Pd8",
  "functional": "PBE-GGA",
  "state": "relaxed",
  "lattice_angstrom": [[-5.6566, -1.0907, -1.0105], [0.0157, -4.0145, 4.2535], [-1.4854, 4.1122, 3.8848]],
  "species": ["Cu", "Ni", "Ni", "Ni", "Ni", "Pd", "Pd", "Pd", "Pd", "Pd", "Pd", "Pd", "Pd"],
  "fractional_positions": [[0.5000, 0.5000, 0.5000], [0.5000, 0.0000, 0.5000], [0.0000, 0.5000, 0.5000], [0.5000, 0.5000, 0.0000], [0.0000, 0.0000, 0.0000], [0.2445, 0.7553, 0.2445], [0.7555, 0.7555, 0.2447], [0.7555, 0.2447, 0.7555], [0.2447, 0.7555, 0.7555], [0.7555, 0.7555, 0.7555], [0.2445, 0.2445, 0.2445], [0.7553, 0.2445, 0.2445], [0.2445, 0.2445, 0.7553]],
  "density_g_cm3": 9.542,
  "dft_energy_ev_per_atom": -5.06,
  "spacegroup": "Pm-3m (221)"
}


[2]
{
  "formula": "CuNi5Pd6",
  "functional": "PBE-GGA",
  "state": "relaxed",
  "lattice_angstrom": [[8.5887, -0.9703, 0.0000], [1.3560, 4.4886, 0.0000], [0.6780, 2.2443, 4.0649]],
  "species": ["Cu", "Ni", "Ni", "Ni", "Ni", "Ni", "Pd", "Pd", "Pd", "Pd", "Pd", "Pd"],
  "fractional_positions": [[0.0000, 0.0000, 0.0000], [0.5000, 0.1657, 0.6687], [0.0000, 0.3336, 0.3327], [0.5000, 0.5000, 0.0000], [0.0000, 0.6664, 0.6673], [0.5000, 0.8343, 0.3313], [0.7495, 0.0833, 0.3345], [0.2505, 0.5821, 0.3345], [0.2509, 0.2511, 0.0000], [0.7491, 0.7489, 0.0000], [0.7495, 0.4179, 0.6655], [0.2505, 0.9167, 0.6655]],
  "density_g_cm3": 10.201,
  "e_above_lowest_polymorph_ev_per_atom": 0.033,
  "spacegroup": "C2/m (12)"
}


[3]
{
  "formula": "Cu3Ni4Pd",
  "functional": "PBE-GGA",
  "state": "relaxed",
  "lattice_angstrom": [[-1.0129, 3.9209, 1.6812], [2.6548, -5.1897, 6.5444], [4.9081, 1.5833, -0.7354]],
  "species": ["Ni", "Ni", "Ni", "Ni", "Ni", "Ni", "Ni", "Ni", "Pd", "Pd", "Cu", "Cu", "Cu", "Cu", "Cu", "Cu"],
  "fractional_positions": [[0.9356, 0.0000, 0.1196], [0.4356, 0.0000, 0.8893], [0.9340, 0.7477, 0.8872], [0.4371, 0.7523, 0.1128], [0.9356, 0.5000, 0.1107], [0.4356, 0.5000, 0.8804], [0.4340, 0.2477, 0.1128], [0.9371, 0.2523, 0.8872], [0.9356, 0.0000, 0.6277], [0.4356, 0.5000, 0.3723], [0.4356, 0.0000, 0.3659], [0.9426, 0.7491, 0.3698], [0.4286, 0.7509, 0.6302], [0.9356, 0.5000, 0.6341], [0.4426, 0.2491, 0.6302], [0.9286, 0.2509, 0.3698]],
  "density_g_cm3": 9.290,
  "dft_energy_ev_per_atom": -5.05,
  "spacegroup": "P2/c (13)"
}


[4]
{
  "formula": "Cu2NiPd8",
  "functional": "PBE-GGA",
  "state": "relaxed",
  "lattice_angstrom": [[4.6259, 0.5167, 0.3920], [0.7425, 6.6112, 0.8276], [0.7425, 2.5772, 6.1441]],
  "species": ["Cu", "Cu", "Ni", "Pd", "Pd", "Pd", "Pd", "Pd", "Pd", "Pd", "Pd"],
  "fractional_positions": [[0.5012, 0.8844, 0.8844], [0.4988, 0.1156, 0.1156], [0.0000, 0.0000, 0.0000], [0.2116, 0.3675, 0.7663], [0.7884, 0.2337, 0.6325], [0.0697, 0.7792, 0.7792], [0.9303, 0.2208, 0.2208], [0.2116, 0.7663, 0.3675], [0.7884, 0.6325, 0.2337], [0.6574, 0.6508, 0.6508], [0.3426, 0.3492, 0.3492]],
  "density_g_cm3": 9.851,
  "e_above_lowest_polymorph_ev_per_atom": 0.258,
  "spacegroup": "C2/m (12)"
}


[5]
{
  "formula": "CuNi2Pd8",
  "functional": "PBE-GGA",
  "state": "relaxed",
  "lattice_angstrom": [[-1.4871, 1.8888, -3.9309], [1.9287, -4.5010, -4.5748], [-4.3845, -4.5587, -2.2141]],
  "species": ["Cu", "Ni", "Ni", "Pd", "Pd", "Pd", "Pd", "Pd", "Pd", "Pd", "Pd"],
  "fractional_positions": [[0.0000, 0.0000, 0.0000], [0.5156, 0.8877, 0.8877], [0.4844, 0.1123, 0.1123], [0.2160, 0.3707, 0.7665], [0.7840, 0.2335, 0.6293], [0.0862, 0.7795, 0.7795], [0.9138, 0.2205, 0.2205], [0.2160, 0.7665, 0.3707], [0.7840, 0.6293, 0.2335], [0.6649, 0.6533, 0.6533], [0.3351, 0.3467, 0.3467]],
  "density_g_cm3": 9.836,
  "e_above_lowest_polymorph_ev_per_atom": 0.279,
  "spacegroup": "C2/m (12)"
}


[6]
{
  "formula": "Cu2Ni3Pd4",
  "functional": "PBE-GGA",
  "state": "relaxed",
  "lattice_angstrom": [[-0.2659, 2.4728, -0.9866], [-2.1701, -1.4089, 0.6815], [0.9386, 7.3823, 18.2500]],
  "species": ["Cu", "Cu", "Ni", "Ni", "Ni", "Pd", "Pd", "Pd", "Pd"],
  "fractional_positions": [[0.6667, 0.3333, 0.0814], [0.6667, 0.3333, 0.8804], [0.0000, 0.0000, 0.9812], [0.0000, 0.0000, 0.3191], [0.6667, 0.3333, 0.6586], [0.0000, 0.0000, 0.5503], [0.6667, 0.3333, 0.4275], [0.6667, 0.3333, 0.2101], [0.0000, 0.0000, 0.7685]],
  "density_g_cm3": 9.905,
  "e_above_lowest_polymorph_ev_per_atom": 0.070,
  "spacegroup": "P3m1 (156)"
}


[7]
{
  "formula": "CuNi4Pd5",
  "functional": "PBE-GGA",
  "state": "relaxed",
  "lattice_angstrom": [[2.9924, 0.0000, 0.0000], [0.0000, 2.9924, 0.0000], [0.0000, 0.0000, 15.0069]],
  "species": ["Cu", "Ni", "Ni", "Ni", "Ni", "Pd", "Pd", "Pd", "Pd", "Pd"],
  "fractional_positions": [[0.0000, 0.0000, 0.0000], [0.0000, 0.0000, 0.2021], [0.0000, 0.0000, 0.4008], [0.0000, 0.0000, 0.5992], [0.0000, 0.0000, 0.7979], [0.5000, 0.5000, 0.1025], [0.5000, 0.5000, 0.3011], [0.5000, 0.5000, 0.5000], [0.5000, 0.5000, 0.6989], [0.5000, 0.5000, 0.8975]],
  "density_g_cm3": 10.261,
  "dft_energy_ev_per_atom": -5.28,
  "spacegroup": "P4/mmm (123)"
}


[8]
{
  "formula": "Cu12Ni6Pd",
  "functional": "PBE-GGA",
  "state": "relaxed",
  "lattice_angstrom": [[6.1167, 0.4453, 0.5335], [-0.4872, 6.1135, 0.5335], [-0.4872, -0.5676, 6.1105]],
  "species": ["Cu", "Cu", "Cu", "Cu", "Cu", "Cu", "Cu", "Cu", "Cu", "Cu", "Cu", "Cu", "Ni", "Ni", "Ni", "Ni", "Ni", "Ni", "Pd"],
  "fractional_positions": [[0.8052, 0.4282, 0.5194], [0.5194, 0.8052, 0.4282], [0.4282, 0.5194, 0.8052], [0.1948, 0.5718, 0.4806], [0.4806, 0.1948, 0.5718], [0.5718, 0.4806, 0.1948], [0.1613, 0.0329, 0.3804], [0.9671, 0.6196, 0.8387], [0.6196, 0.8387, 0.9671], [0.8387, 0.9671, 0.6196], [0.0329, 0.3804, 0.1613], [0.3804, 0.1613, 0.0329], [0.8846, 0.7347, 0.2784], [0.7216, 0.1154, 0.2653], [0.2653, 0.7216, 0.1154], [0.1154, 0.2653, 0.7216], [0.2784, 0.8846, 0.7347], [0.7347, 0.2784, 0.8846], [0.0000, 0.0000, 0.0000]],
  "density_g_cm3": 8.692,
  "dft_energy_ev_per_atom": -4.58,
  "spacegroup": "R-3 (148)"
}